This record from the Alexandria database describes a relaxed Si2PdBr crystal. The functional is GGA-PBEsol.

## Properties
Crystal system: cubic
Total DFT energy (no corrections) in eV per atom: -4.3574

a = 4.584 Å, b = 4.584 Å, c = 4.584 Å
α = 60.00°, β = 60.00°, γ = 60.00°
Sites, in units of the cell vectors:
Si 0.250 0.250 0.250
Si 0.750 0.750 0.750
Pd 0.000 0.000 0.000
Br 0.500 0.500 0.500


This record from the Alexandria database describes a relaxed Tl2Sb crystal. The functional is GGA-PBEsol.

## Properties
Crystal system: orthorhombic
Relative energy among the computed polymorphs in eV per atom: 0.014

a = 6.727 Å, b = 6.727 Å, c = 6.727 Å
α = 151.69°, β = 142.83°, γ = 47.38°
Sites, in units of the cell vectors:
Tl 0.158 0.158 0.000
Tl 0.842 0.842 0.000
Sb 0.500 0.500 0.000


This record from the Alexandria database describes a relaxed Li3Ag crystal. The functional is GGA-PBEsol.

## Properties
Crystal system: orthorhombic
Relative energy among the computed polymorphs in eV per atom: 0.032
ΔE_f in eV/f.u.: -0.38

a = 4.896 Å, b = 4.896 Å, c = 2.856 Å
α = 90.00°, β = 90.00°, γ = 108.48°
Sites, in units of the cell vectors:
Li 0.000 0.000 0.000
Li 0.000 0.500 0.500
Li 0.500 0.000 0.500
Ag 0.500 0.500 0.000


This record from the Alexandria database describes a relaxed TaCoRe crystal. The functional is GGA-PBEsol.

## Properties
Crystal system: tetragonal
Relative energy among the computed polymorphs in eV per atom: 0.000
ΔE_f in eV/f.u.: -0.22

a = 6.138 Å, b = 6.138 Å, c = 6.138 Å
α = 154.77°, β = 154.77°, γ = 35.97°
Sites, in units of the cell vectors:
Ta 0.000 0.000 0.000
Co 0.667 0.667 0.000
Re 0.308 0.308 0.000


This record from the Alexandria database describes a relaxed KCuBi3 crystal. The functional is GGA-PBEsol.

## Properties
Crystal system: cubic
ΔE_f in eV/f.u.: 7.72

a = 5.774 Å, b = 5.774 Å, c = 5.774 Å
α = 90.00°, β = 90.00°, γ = 90.00°
Sites, in units of the cell vectors:
K 0.000 0.000 0.000
Cu 0.500 0.500 0.500
Bi 0.000 0.000 0.500
Bi 0.000 0.500 0.000
Bi 0.500 0.000 0.000


This record from the Alexandria database describes a relaxed BaRu2Pb crystal. The functional is GGA-PBEsol.

## Properties
Crystal system: trigonal
ΔE_f in eV/f.u.: 0.79

a = 6.887 Å, b = 6.887 Å, c = 6.887 Å
α = 36.20°, β = 36.20°, γ = 36.20°
Sites, in units of the cell vectors:
Ba 0.000 0.000 0.000
Ru 0.457 0.457 0.457
Ru 0.789 0.789 0.789
Pb 0.199 0.199 0.199


This record from the Alexandria database describes a relaxed PPbCl2 crystal. The functional is GGA-PBEsol.

## Properties
Crystal system: tetragonal
Relative energy among the computed polymorphs in eV per atom: 0.197

a = 4.508 Å, b = 4.508 Å, c = 4.167 Å
α = 90.00°, β = 90.00°, γ = 90.00°
Sites, in units of the cell vectors:
P 0.000 0.000 0.000
Pb 0.500 0.500 0.000
Cl 0.000 0.500 0.500
Cl 0.500 0.000 0.500


This record from the Alexandria database describes a relaxed TlAgSe crystal. The functional is GGA-PBEsol.

## Properties
Crystal system: orthorhombic
Relative energy among the computed polymorphs in eV per atom: 0.000

a = 8.154 Å, b = 4.599 Å, c = 7.423 Å
α = 90.00°, β = 90.00°, γ = 90.00°
Sites, in units of the cell vectors:
Tl 0.010 0.250 0.177
Tl 0.490 0.750 0.677
Tl 0.510 0.250 0.323
Tl 0.990 0.750 0.823
Ag 0.174 0.750 0.412
Ag 0.326 0.250 0.912
Ag 0.674 0.750 0.088
Ag 0.826 0.250 0.588
Se 0.178 0.250 0.598
Se 0.322 0.750 0.098
Se 0.678 0.250 0.902
Se 0.822 0.750 0.402


Number 1: total magnetization 0.0 μB/cell, V 17.0 Å³ per atom. Number 2: total magnetization 0.0 μB/cell, V 29.0 Å³ per atom. Number 3: total magnetization 0.0 μB/cell, V 16.2 Å³ per atom. Number 4: total magnetization 0.0 μB/cell, V 14.0 Å³ per atom. Number 5: total magnetization 0.0 μB/cell, V 38.5 Å³ per atom. Number 6: total magnetization 0.0 μB/cell, V 25.5 Å³ per atom. Number 7: total magnetization 0.0 μB/cell, V 21.2 Å³ per atom. Number 8: total magnetization 0.0 μB/cell, V 23.2 Å³ per atom.